Entry 1:
Density functional theory data (PBE) for an optimized crystal structure of NaHPbW2.

## Properties
The calculation puts the calculated total energy at -29.90 eV/cell. Its total magnetic moment is 0.0 μB/cell. As for the symmetry: No. 123.

a b c (Å): 3.957 5.183 3.957
angles (deg): 90.00 90.00 90.00
Sites, in units of the cell vectors:
1 Pb 0.000 0.500 0.000
2 Na 0.500 0.500 0.500
3 W 0.000 0.000 0.500
4 W 0.500 0.000 0.000
5 H 0.000 0.000 0.000



Entry 2:
Density functional theory data (PBE) for an optimized crystal structure of Na2YHPb.

## Properties
The calculation puts the calculated total energy at -17.57 eV/cell. Its total magnetic moment is 0.0 μB/cell. As for the symmetry: No. 123.

a b c (Å): 4.592 4.592 5.164
angles (deg): 90.00 90.00 90.00
Sites, in units of the cell vectors:
1 Pb 0.500 0.500 0.500
2 Y 0.000 0.000 0.500
3 H 0.000 0.000 0.000
4 Na 0.000 0.500 0.000
5 Na 0.500 0.000 0.000